YGaNiMo (PBE, optimized geometry); final energy = -6.30 eV/atom; M_tot = 1.89 μB/f.u.
1.0
3.0143 -1.7146 -3.0065
3.0513 -3.1504 1.3527
-0.4002 -4.3437 -1.4272
Ga Ni Y Mo
1 1 1 1
Cartesian
0.0000 0.0000 0.0000
4.2491 -6.9066 -2.3107
2.8327 -4.6044 -1.5405
1.4164 -2.3022 -0.7702

LuMgNb (PBE, optimized geometry); M_tot = 0.62 μB/f.u.; energy above the lowest structure with this stoichiometry = 0 meV per atom
1.0
2.5620 2.5756 3.0761
-1.6950 4.1391 1.6292
-1.4016 0.3789 4.5334
Mg Nb Lu
1 1 1
Cartesian
0.0000 0.0000 0.0000
-0.4010 5.3202 6.9290
-0.1337 1.7734 2.3097